# 1
# BeAsBr2Cl

A PBEsol-optimized structure of BeAsBr2Cl (meta-GGA SCAN, Alexandria).

Cell lengths 5.172, 5.172, 4.928 Å; angles 90.00, 90.00, 90.00 degrees
Atoms (fractional coordinates):
Be 0.000 0.000 0.000
As 0.500 0.500 0.000
Br 0.000 0.500 0.500
Br 0.500 0.000 0.500
Cl 0.500 0.500 0.500

Values from the calculation:
Its density of states at the Fermi level is 2.0 states/eV/f.u. The formation energy (no corrections) is 564 kJ/mol of formula units.

# 2
# RbTaBRu2

A PBEsol-optimized structure of RbTaBRu2 (meta-GGA SCAN, Alexandria).

Cell lengths 4.615, 4.615, 4.162 Å; angles 90.00, 90.00, 90.00 degrees
Atoms (fractional coordinates):
Rb 0.000 0.000 0.000
Ta 0.500 0.500 0.500
B 0.000 0.000 0.500
Ru 0.000 0.500 0.000
Ru 0.500 0.000 0.000

Values from the calculation:
Its density of states at the Fermi level is 4.5 states/eV/f.u. The calculation puts the electronic total energy at -1.08142 hartree per atom.

# 3
# Ta2MnZnAg

A PBEsol-optimized structure of Ta2MnZnAg (meta-GGA SCAN, Alexandria).

Cell lengths 4.455, 4.455, 4.558 Å; angles 90.00, 90.00, 90.00 degrees
Atoms (fractional coordinates):
Ta 0.000 0.500 0.000
Ta 0.500 0.000 0.000
Mn 0.000 0.000 0.000
Zn 0.000 0.000 0.500
Ag 0.500 0.500 0.500

Values from the calculation:
Its density of states at the Fermi level is 4.4 states/eV/f.u. The calculation puts the electronic total energy at -1.41004 hartree per atom.

# 4
# Ba2Sr2CaTi5O15

A PBEsol-optimized structure of Ba2Sr2CaTi5O15 (meta-GGA SCAN, Alexandria).

Cell lengths 8.775, 3.910, 8.885 Å; angles 90.00, 90.85, 90.00 degrees
Atoms (fractional coordinates):
Ba 0.000 0.000 0.000
Ba 0.202 0.000 0.600
Sr 0.603 0.000 0.790
Sr 0.802 0.000 0.393
Ca 0.414 0.000 0.175
Ti 0.108 0.500 0.295
Ti 0.307 0.500 0.898
Ti 0.505 0.500 0.488
Ti 0.700 0.500 0.096
Ti 0.898 0.500 0.690
O 0.094 0.000 0.307
O 0.100 0.500 0.807
O 0.202 0.500 0.112
O 0.299 0.500 0.406
O 0.308 0.000 0.916
O 0.407 0.500 0.715
O 0.491 0.500 0.022
O 0.504 0.000 0.506
O 0.597 0.500 0.306
O 0.687 0.000 0.110
O 0.698 0.500 0.604
O 0.785 0.500 0.904
O 0.892 0.000 0.704
O 0.894 0.500 0.207
O 0.992 0.500 0.505

Values from the calculation:
Its density of states at the Fermi level is 0.0 states/eV/f.u. The formation energy (no corrections) is -8241 kJ/mol of formula units.

# 5
# Pt3Au

A PBEsol-optimized structure of Pt3Au (meta-GGA SCAN, Alexandria).

Cell lengths 5.519, 5.519, 4.708 Å; angles 90.00, 90.00, 120.00 degrees
Atoms (fractional coordinates):
Pt 0.165 0.330 0.250
Pt 0.165 0.835 0.250
Pt 0.330 0.165 0.750
Pt 0.670 0.835 0.250
Pt 0.835 0.165 0.750
Pt 0.835 0.670 0.750
Au 0.333 0.667 0.750
Au 0.667 0.333 0.250

Values from the calculation:
Its density of states at the Fermi level is 4.0 states/eV/f.u. The calculation puts the electronic total energy at -2.56472 hartree per atom.

# 6
# ScTiAg2Sb

A PBEsol-optimized structure of ScTiAg2Sb (meta-GGA SCAN, Alexandria).

Cell lengths 4.891, 4.891, 4.810 Å; angles 90.00, 90.00, 90.00 degrees
Atoms (fractional coordinates):
Sc 0.000 0.000 0.000
Ti 0.000 0.000 0.500
Ag 0.000 0.500 0.500
Ag 0.500 0.000 0.500
Sb 0.500 0.500 0.000

Values from the calculation:
Its density of states at the Fermi level is 4.3 states/eV/f.u. The formation energy (no corrections) is 400 kJ/mol of formula units.

# 7
# CaBe2Ge2

A PBEsol-optimized structure of CaBe2Ge2 (meta-GGA SCAN, Alexandria).

Cell lengths 3.984, 3.984, 9.760 Å; angles 90.00, 90.00, 90.00 degrees
Atoms (fractional coordinates):
Ca 0.250 0.250 0.246
Ca 0.750 0.750 0.754
Be 0.250 0.250 0.635
Be 0.250 0.750 0.000
Be 0.750 0.250 0.000
Be 0.750 0.750 0.365
Ge 0.250 0.250 0.867
Ge 0.250 0.750 0.500
Ge 0.750 0.250 0.500
Ge 0.750 0.750 0.133

Values from the calculation:
Its density of states at the Fermi level is 0.9 states/eV/f.u. The calculation puts the electronic total energy at -0.42727 hartree per atom.

# 8
# InFePt2

A PBEsol-optimized structure of InFePt2 (meta-GGA SCAN, Alexandria).

Cell lengths 8.736, 8.736, 8.736 Å; angles 19.15, 19.15, 19.15 degrees
Atoms (fractional coordinates):
In 0.000 0.000 0.000
Fe 0.500 0.500 0.500
Pt 0.244 0.244 0.244
Pt 0.756 0.756 0.756

Values from the calculation:
Its density of states at the Fermi level is 2.5 states/eV/f.u. The calculation puts the electronic total energy at -1.76904 hartree per atom.

# 9
# ZnFe2Co

A PBEsol-optimized structure of ZnFe2Co (meta-GGA SCAN, Alexandria).

Cell lengths 3.987, 3.987, 3.987 Å; angles 60.00, 60.00, 60.00 degrees
Atoms (fractional coordinates):
Zn 0.000 0.000 0.000
Fe 0.500 0.500 0.500
Fe 0.750 0.750 0.750
Co 0.250 0.250 0.250

Values from the calculation:
Its density of states at the Fermi level is 4.0 states/eV/f.u. The calculation puts the electronic total energy at -0.61635 hartree per atom.

# 10
# PrGePd2

A PBEsol-optimized structure of PrGePd2 (meta-GGA SCAN, Alexandria).

Cell lengths 7.575, 6.986, 5.693 Å; angles 90.00, 90.00, 90.00 degrees
Atoms (fractional coordinates):
Pr 0.032 0.250 0.147
Pr 0.468 0.750 0.647
Pr 0.532 0.250 0.353
Pr 0.968 0.750 0.853
Ge 0.122 0.750 0.350
Ge 0.378 0.250 0.850
Ge 0.622 0.750 0.150
Ge 0.878 0.250 0.650
Pd 0.177 0.053 0.589
Pd 0.177 0.447 0.589
Pd 0.323 0.553 0.089
Pd 0.323 0.947 0.089
Pd 0.677 0.053 0.911
Pd 0.677 0.447 0.911
Pd 0.823 0.553 0.411
Pd 0.823 0.947 0.411

Values from the calculation:
Its density of states at the Fermi level is 1.4 states/eV/f.u. The calculation puts the electronic total energy at -1.21107 hartree per atom.

# 11
# MgCdPb2

A PBEsol-optimized structure of MgCdPb2 (meta-GGA SCAN, Alexandria).

Cell lengths 3.356, 3.356, 10.051 Å; angles 90.00, 90.00, 111.03 degrees
Atoms (fractional coordinates):
Mg 0.000 0.000 0.000
Cd 0.000 0.000 0.500
Pb 0.500 0.500 0.248
Pb 0.500 0.500 0.752

Values from the calculation:
Its density of states at the Fermi level is 1.7 states/eV/f.u. The calculation puts the electronic total energy at -1.71678 hartree per atom.

# 12
# Tl2ReSi

A PBEsol-optimized structure of Tl2ReSi (meta-GGA SCAN, Alexandria).

Cell lengths 5.092, 5.092, 5.092 Å; angles 130.34, 130.34, 72.87 degrees
Atoms (fractional coordinates):
Tl 0.000 0.000 0.000
Tl 0.750 0.250 0.500
Re 0.500 0.500 0.000
Si 0.250 0.750 0.500

Values from the calculation:
Its density of states at the Fermi level is 3.6 states/eV/f.u. The formation energy (no corrections) is 472 kJ/mol of formula units.